Record 1
The following is a GGA-PBE calculation of a geometry-optimized Pm2Hg3Ge structure, from the Alexandria database.

Lattice parameters (Å, degrees): 3.567 4.966 8.389 90.00 90.00 90.00
Fractional coordinates of all 6 atoms:
Pm1 0.000 0.500 0.015
Pm2 0.000 0.000 0.490
Hg1 0.500 0.000 0.829
Hg2 0.500 0.000 0.168
Hg3 0.500 0.500 0.664
Ge1 0.500 0.500 0.333

Electronic total energy   -2.95 eV/atom
E_form   -0.4441 eV/atom
SG   No. 25
D(E_F)   3.56 states/eV per cell
Magnetization   0.00 μB/f.u.

Record 2
The following is a GGA-PBE calculation of a geometry-optimized UGaH structure, from the Alexandria database.

Lattice parameters (Å, degrees): 5.896 5.896 6.534 113.77 113.77 96.12
Fractional coordinates of all 12 atoms:
H1 0.773 0.227 0.000
H2 0.023 0.977 0.500
H3 0.227 0.773 0.000
H4 0.477 0.523 0.500
U1 0.625 0.375 0.750
U2 0.125 0.375 0.750
U3 0.625 0.875 0.250
U4 0.625 0.375 0.250
Ga1 0.878 0.878 0.756
Ga2 0.122 0.122 0.244
Ga3 0.128 0.628 0.256
Ga4 0.372 0.872 0.744

Electronic total energy   -5.73 eV/atom
ΔE to the lowest computed polymorph   331 meV/atom
SG   No. 70
D(E_F)   19.13 states/eV per cell
Magnetization   1.62 μB/f.u.